Density functional theory data (PBE with a Hubbard U) for crystalline BWAuF2 at its relaxed geometry.

The structure in POSCAR format:
```
BWAuF2
1.0
4.0332 0.0000 0.0000
0.0000 4.0332 0.0000
0.0000 0.0000 4.5127
B W Au F
1 1 1 2
direct
0.0000 0.0000 0.0000 B
0.0000 0.0000 0.5000 W
0.5000 0.5000 0.0000 Au
0.0000 0.5000 0.5000 F
0.5000 0.0000 0.5000 F
```

Output
theoretical density: 9.7 g/cm3
SG: P4/mmm
spin magnetization: 0.00 μB per cell
total energy: -4.285 eV/atom